# 1
A plane-wave DFT calculation with PBE-GGA was carried out for Tm4Si2C after structural relaxation.

Cell lengths 3.8979, 8.0500, 6.9999 Å; angles 134.42, 106.17, 90.00 degrees
Sites, in units of the cell vectors:
Tm (0.9184, 0.1843, 0.8368)
Tm (0.0816, 0.8157, 0.1632)
Tm (0.6630, 0.2509, 0.3259)
Tm (0.3370, 0.7491, 0.6741)
Si (0.6198, 0.5875, 0.2395)
Si (0.3802, 0.4125, 0.7605)
C (0.0000, 0.0000, 0.0000)

Computed properties:
- total magnetic moment (μB/f.u.) = 0.0
- calculated total energy (eV per atom) = -5.9907
- density of states at the Fermi level (states/eV/f.u.) = 6.39
- energy above the lowest structure with this stoichiometry (kJ/mol of formula units) = 2

---

# 2
A plane-wave DFT calculation with PBE-GGA was carried out for CaMn2NbIr after structural relaxation.

Cell lengths 4.2171, 4.7742, 4.2171 Å; angles 90.00, 90.00, 90.00 degrees
Sites, in units of the cell vectors:
Nb (0.5000, 0.5000, 0.5000)
Ir (0.0000, 0.5000, 0.0000)
Ca (0.0000, 0.0000, 0.0000)
Mn (0.0000, 0.0000, 0.5000)
Mn (0.5000, 0.0000, 0.0000)

Computed properties:
- formation energy from the elements (eV per atom) = 2.093
- total magnetic moment (μB/f.u.) = 0.0
- calculated total energy (eV per atom) = -5.7616
- density of states at the Fermi level (states/eV/f.u.) = 8.54
- energy above the lowest structure with this stoichiometry (kJ/mol of formula units) = 274

---

# 3
A plane-wave DFT calculation with PBE-GGA was carried out for Zn2AgHg after structural relaxation.

Cell lengths 4.9451, 4.9451, 4.9451 Å; angles 129.04, 129.04, 74.94 degrees
Sites, in units of the cell vectors:
Ag (0.2500, 0.7500, 0.5000)
Hg (0.7500, 0.2500, 0.5000)
Zn (0.0000, 0.0000, 0.0000)
Zn (0.5000, 0.5000, 0.0000)

Computed properties:
- formation energy from the elements (eV per atom) = 0.087
- total magnetic moment (μB/f.u.) = 0.0
- calculated total energy (eV per atom) = -1.3383
- density of states at the Fermi level (states/eV/f.u.) = 1.34

---

Question: Look up the total magnetic moment of the first one.
Answer: 0.0 μB/f.u.